1.
Below is an optimized crystal structure of Nd2PaRh4, with properties calculated at the GGA-PBE level.

Cell: 7.965 7.965 7.965 Å, 146.66 146.66 47.86°
Element x y z (fractional)
Nd: 0.228 0.228 0.000
Nd: 0.772 0.772 0.000
Pa: 0.500 0.500 0.000
Rh: 0.103 0.603 0.500
Rh: 0.397 0.897 0.500
Rh: 0.603 0.103 0.500
Rh: 0.897 0.397 0.500

Calculated values
energy of formation from the pure elements: -0.48 eV/atom

---

2.
Below is an optimized crystal structure of Pm2DyBiC, with properties calculated at the GGA-PBE level.

Cell: 5.099 5.099 4.907 Å, 90.00 90.00 90.00°
Element x y z (fractional)
Pm: 0.000 0.500 0.000
Pm: 0.500 0.000 0.000
Dy: 0.000 0.000 0.500
Bi: 0.500 0.500 0.500
C: 0.000 0.000 0.000

Calculated values
energy of formation from the pure elements: -0.49 eV/atom